Entry 1:
BaLiSb2 (GGA-PBE, optimized geometry); final energy = -0.263 Ry/atom; SG = P2/m; distance to the lowest polymorph of the same formula = 161 meV per atom; raw formation energy = -561 meV/atom
1.0
3.5072 0.0000 0.0000
0.0000 4.6012 0.0000
-0.0160 0.0000 7.3070
Ba Li Sb
1 1 2
Direct
0.0000 0.0000 0.0000
0.0000 0.0000 0.5000
0.4977 0.5000 0.7076
0.5023 0.5000 0.2924

---

Entry 2:
BaLi4Sb (GGA-PBE, optimized geometry); final energy = -0.185 Ry/atom; SG = F-43m; raw formation energy = -227 meV/atom
1.0
0.0000 4.2180 4.2180
4.2180 0.0000 4.2180
4.2180 4.2180 0.0000
Ba Li Sb
1 4 1
Direct
0.0000 0.0000 0.0000
0.1304 0.6232 0.6232
0.6232 0.1304 0.6232
0.6232 0.6232 0.1304
0.6232 0.6232 0.6232
0.2500 0.2500 0.2500

---

Entry 3:
Ba2Li2Sb (GGA-PBE, optimized geometry); final energy = -0.203 Ry/atom; SG = P4/mbm; distance to the lowest polymorph of the same formula = 0 meV per atom; raw formation energy = -397 meV/atom
1.0
7.8029 0.0000 0.0000
0.0000 7.8029 0.0000
0.0000 0.0000 5.2943
Ba Li Sb
4 4 2
Direct
0.1944 0.3056 0.0000
0.3056 0.8056 0.0000
0.6944 0.1944 0.0000
0.8056 0.6944 0.0000
0.1282 0.6282 0.5000
0.3718 0.1282 0.5000
0.6282 0.8718 0.5000
0.8718 0.3718 0.5000
0.0000 0.0000 0.5000
0.5000 0.5000 0.5000